[1]
Here is HgHF after structural relaxation from the Alexandria database. Energies are from GGA-PBE.

Cell and atoms, written as CIF:
```
data_HgHF
_cell_length_a 3.998
_cell_length_b 4.014
_cell_length_c 6.226
_cell_angle_alpha 90.00
_cell_angle_beta 90.13
_cell_angle_gamma 90.00
_space_group_name_H-M_alt 'P 1 2/m 1'
_space_group_IT_number 10
loop_
_space_group_symop_operation_xyz
'x,y,z'
'-x,-y,-z'
'-x,y,-z'
'x,-y,z'
loop_
_atom_site_label
_atom_site_type_symbol
_atom_site_fract_x
_atom_site_fract_y
_atom_site_fract_z
Hg1 Hg 0.000 0.000 0.211
H1 H 0.000 0.000 0.500
H2 H 0.500 0.500 0.500
F1 F 0.499 0.500 0.315
```

## Properties
**Relative energy among the computed polymorphs**: 0.053 eV per atom

***

[2]
Here is Nb2Cr3Ge after structural relaxation from the Alexandria database. Energies are from GGA-PBE.

Cell and atoms, written as CIF:
```
data_Nb2Cr3Ge
_cell_length_a 4.8705
_cell_length_b 4.8705
_cell_length_c 12.4818
_cell_angle_alpha 90.00
_cell_angle_beta 90.00
_cell_angle_gamma 120.00
_space_group_name_H-M_alt 'R -3 m'
_space_group_IT_number 166
_space_group_name_Hall '-R 3 2"'
loop_
_atom_site_label
_atom_site_type_symbol
_atom_site_fract_x
_atom_site_fract_y
_atom_site_fract_z
Nb1 Nb 0.0000 0.0000 0.1223
Cr1 Cr 0.0000 0.5000 0.0000
Ge1 Ge 0.0000 0.0000 0.5000
```

## Properties
**E_form**: -0.22 eV/atom

***

[3]
Here is PRhCl2 after structural relaxation from the Alexandria database. Energies are from GGA-PBE.

Cell and atoms, written as CIF:
```
data_PRhCl2
_cell_length_a 4.214
_cell_length_b 4.214
_cell_length_c 16.384
_cell_angle_alpha 90.00
_cell_angle_beta 90.00
_cell_angle_gamma 90.00
_space_group_name_H-M_alt 'I -4 2 d'
_space_group_IT_number 122
_space_group_name_Hall 'I -4 2bw'
loop_
_atom_site_label
_atom_site_type_symbol
_atom_site_fract_x
_atom_site_fract_y
_atom_site_fract_z
P1 P 0.000 0.000 0.000
Rh1 Rh 0.000 0.000 0.500
Cl1 Cl 0.242 0.250 0.625
```

## Properties
**E_form (uncorrected)**: 502 meV per atom
**Relative energy among the computed polymorphs**: 1.239 eV per atom

***

[4]
Here is LiCuF4 after structural relaxation from the Alexandria database. Energies are from GGA-PBE.

Cell and atoms, written as CIF:
```
data_LiCuF4
_cell_length_a 3.799
_cell_length_b 5.200
_cell_length_c 7.666
_cell_angle_alpha 89.20
_cell_angle_beta 75.66
_cell_angle_gamma 86.52
_space_group_name_H-M_alt 'P 1'
_space_group_IT_number 1
loop_
_space_group_symop_operation_xyz
'x,y,z'
loop_
_atom_site_label
_atom_site_type_symbol
_atom_site_fract_x
_atom_site_fract_y
_atom_site_fract_z
Li1 Li 0.000 0.000 0.000
Li2 Li 0.428 0.500 0.142
Cu1 Cu 0.500 0.440 0.751
Cu2 Cu 0.681 0.939 0.391
F1 F 0.186 0.933 0.383
F2 F 0.407 0.722 0.911
F3 F 0.415 0.229 0.962
F4 F 0.577 0.139 0.606
F5 F 0.613 0.639 0.535
F6 F 0.747 0.221 0.230
F7 F 0.808 0.728 0.179
F8 F 0.998 0.434 0.758
```

## Properties
**E_form (uncorrected)**: -1863 meV per atom

***

[5]
Here is Sm2Ge3Pt2 after structural relaxation from the Alexandria database. Energies are from GGA-PBE.

Cell and atoms, written as CIF:
```
data_Sm2Ge3Pt2
_cell_length_a 4.289
_cell_length_b 18.448
_cell_length_c 7.113
_cell_angle_alpha 90.00
_cell_angle_beta 90.00
_cell_angle_gamma 90.00
_space_group_name_H-M_alt 'C m c m'
_space_group_IT_number 63
_space_group_name_Hall '-C 2c 2'
loop_
_atom_site_label
_atom_site_type_symbol
_atom_site_fract_x
_atom_site_fract_y
_atom_site_fract_z
Sm1 Sm 0.000 0.054 0.250
Sm2 Sm 0.000 0.155 0.750
Ge1 Ge 0.000 0.224 0.250
Ge2 Ge 0.000 0.437 0.066
Pt1 Pt 0.000 0.306 0.548
```

## Properties
**Relative energy among the computed polymorphs**: 0.000 eV per atom
**E_form**: -0.91 eV/atom

***

[6]
Here is Cs3CuB after structural relaxation from the Alexandria database. Energies are from GGA-PBE.

Cell and atoms, written as CIF:
```
data_Cs3CuB
_cell_length_a 6.621
_cell_length_b 6.621
_cell_length_c 6.621
_cell_angle_alpha 90.00
_cell_angle_beta 90.00
_cell_angle_gamma 90.00
_space_group_name_H-M_alt 'P m -3 m'
_space_group_IT_number 221
_space_group_name_Hall '-P 4 2 3'
loop_
_atom_site_label
_atom_site_type_symbol
_atom_site_fract_x
_atom_site_fract_y
_atom_site_fract_z
Cs1 Cs 0.000 0.000 0.500
Cu1 Cu 0.000 0.000 0.000
B1 B 0.500 0.500 0.500
```

## Properties
**E_form**: 1.13 eV/atom

***

[7]
Here is Rb2In6Sn2Pb after structural relaxation from the Alexandria database. Energies are from GGA-PBE.

Cell and atoms, written as CIF:
```
data_Rb2In6Sn2Pb
_cell_length_a 8.0400
_cell_length_b 8.0400
_cell_length_c 22.3619
_cell_angle_alpha 90.00
_cell_angle_beta 90.00
_cell_angle_gamma 120.00
_space_group_name_H-M_alt 'R -3 m'
_space_group_IT_number 166
_space_group_name_Hall '-R 3 2"'
loop_
_atom_site_label
_atom_site_type_symbol
_atom_site_fract_x
_atom_site_fract_y
_atom_site_fract_z
Rb1 Rb 0.0000 0.0000 0.2236
In1 In 0.0770 0.5385 0.2921
Sn1 Sn 0.0000 0.0000 0.0661
Pb1 Pb 0.0000 0.0000 0.5000
```

## Properties
**E_form**: 0.03 eV/atom

***

[8]
Here is Sm3I2N2 after structural relaxation from the Alexandria database. Energies are from GGA-PBE.

Cell and atoms, written as CIF:
```
data_Sm3I2N2
_cell_length_a 3.682
_cell_length_b 6.307
_cell_length_c 8.419
_cell_angle_alpha 98.92
_cell_angle_beta 90.03
_cell_angle_gamma 106.89
_space_group_name_H-M_alt 'P -1'
_space_group_IT_number 2
loop_
_space_group_symop_operation_xyz
'x,y,z'
'-x,-y,-z'
loop_
_atom_site_label
_atom_site_type_symbol
_atom_site_fract_x
_atom_site_fract_y
_atom_site_fract_z
Sm1 Sm 0.000 0.000 0.000
Sm2 Sm 0.228 0.456 0.826
I1 I 0.118 0.234 0.366
N1 N 0.363 0.727 0.053
```

## Properties
**E_form (uncorrected)**: -1311 meV per atom

***

[9]
Here is Cs3TiN after structural relaxation from the Alexandria database. Energies are from GGA-PBE.

Cell and atoms, written as CIF:
```
data_Cs3TiN
_cell_length_a 6.158
_cell_length_b 6.158
_cell_length_c 6.158
_cell_angle_alpha 90.00
_cell_angle_beta 90.00
_cell_angle_gamma 90.00
_space_group_name_H-M_alt 'P m -3 m'
_space_group_IT_number 221
_space_group_name_Hall '-P 4 2 3'
loop_
_atom_site_label
_atom_site_type_symbol
_atom_site_fract_x
_atom_site_fract_y
_atom_site_fract_z
Cs1 Cs 0.000 0.000 0.500
Ti1 Ti 0.000 0.000 0.000
N1 N 0.500 0.500 0.500
```

## Properties
**E_form (uncorrected)**: 1786 meV per atom

***

[10]
Here is Ac2Ru after structural relaxation from the Alexandria database. Energies are from GGA-PBE.

Cell and atoms, written as CIF:
```
data_Ac2Ru
_cell_length_a 14.420
_cell_length_b 4.333
_cell_length_c 6.958
_cell_angle_alpha 90.00
_cell_angle_beta 90.00
_cell_angle_gamma 90.00
_space_group_name_H-M_alt 'P n m a'
_space_group_IT_number 62
loop_
_space_group_symop_operation_xyz
'x,y,z'
'-x,-y,-z'
'-x+1/2,-y,z+1/2'
'x+1/2,y,-z+1/2'
'x+1/2,-y+1/2,-z+1/2'
'-x+1/2,y+1/2,z+1/2'
'-x,y+1/2,-z'
'x,-y+1/2,z'
loop_
_atom_site_label
_atom_site_type_symbol
_atom_site_fract_x
_atom_site_fract_y
_atom_site_fract_z
Ac1 Ac 0.043 0.250 0.227
Ac2 Ac 0.211 0.250 0.772
Ru1 Ru 0.139 0.750 0.009
```

## Properties
**Relative energy among the computed polymorphs**: 0.000 eV per atom
**E_form**: -0.19 eV/atom

***

[11]
Here is HfMgTe2 after structural relaxation from the Alexandria database. Energies are from GGA-PBE.

Cell and atoms, written as CIF:
```
data_HfMgTe2
_cell_length_a 6.679
_cell_length_b 6.679
_cell_length_c 12.208
_cell_angle_alpha 90.00
_cell_angle_beta 90.00
_cell_angle_gamma 90.00
_space_group_name_H-M_alt 'I -4 2 d'
_space_group_IT_number 122
_space_group_name_Hall 'I -4 2bw'
loop_
_atom_site_label
_atom_site_type_symbol
_atom_site_fract_x
_atom_site_fract_y
_atom_site_fract_z
Hf1 Hf 0.000 0.000 0.000
Mg1 Mg 0.000 0.000 0.500
Te1 Te 0.249 0.250 0.625
```

## Properties
**E_form (uncorrected)**: -208 meV per atom

***

[12]
Here is MnAgPtRh2 after structural relaxation from the Alexandria database. Energies are from GGA-PBE.

Cell and atoms, written as CIF:
```
data_MnAgPtRh2
_cell_length_a 4.755
_cell_length_b 4.755
_cell_length_c 4.445
_cell_angle_alpha 90.00
_cell_angle_beta 90.00
_cell_angle_gamma 90.00
_space_group_name_H-M_alt 'P 4/m m m'
_space_group_IT_number 123
_space_group_name_Hall '-P 4 2'
loop_
_atom_site_label
_atom_site_type_symbol
_atom_site_fract_x
_atom_site_fract_y
_atom_site_fract_z
Mn1 Mn 0.000 0.000 0.000
Ag1 Ag 0.000 0.000 0.500
Pt1 Pt 0.500 0.500 0.000
Rh1 Rh 0.000 0.500 0.500
```

## Properties
**E_form**: 2.09 eV/atom

***

no.,DOS(E_F) (states/eV per cell)
1,0.08
2,9.46
3,8.29
4,3.32
5,9.87
6,4.90
7,23.32
8,2.07
9,11.90
10,5.18
11,18.11
12,12.99